No. 1
! HgRuPt | the Alexandria database | GGA-PBEsol | optimized geometry; values from VASP
&SYSTEM
  ibrav = 0, nat = 3, ntyp = 3
/
ATOMIC_SPECIES
Hg 200.59 Hg.upf
Ru 101.07 Ru.upf
Pt 195.08 Pt.upf
CELL_PARAMETERS angstrom
4.327 0.000 0.000
2.164 3.747 0.000
2.164 1.249 3.533
ATOMIC_POSITIONS angstrom
Hg 4.327 2.498 1.767
Ru 0.000 0.000 0.000
Pt 2.164 1.249 0.883
! Total energy, eV per atom: -5.23
! Magnetization, μB per formula unit: 2.119

No. 2
! HgSb3Pt | the Alexandria database | GGA-PBEsol | optimized geometry; values from VASP
&SYSTEM
  ibrav = 0, nat = 5, ntyp = 3
/
ATOMIC_SPECIES
Sb 121.76 Sb.upf
Pt 195.08 Pt.upf
Hg 200.59 Hg.upf
CELL_PARAMETERS angstrom
-2.202 4.140 2.504
-4.189 -0.255 -3.263
-2.421 -3.325 3.368
ATOMIC_POSITIONS angstrom
Sb -1.101 2.070 1.252
Sb -2.095 -0.127 -1.631
Sb -1.210 -1.663 1.684
Pt -4.406 0.280 1.305
Hg 0.000 0.000 0.000
! Total energy, eV per atom: -2.93
! Raw formation energy, meV/atom: 1308
! Magnetization, μB per formula unit: 0.000

No. 3
! HgSbPt | the Alexandria database | GGA-PBEsol | optimized geometry; values from VASP
&SYSTEM
  ibrav = 0, nat = 3, ntyp = 3
/
ATOMIC_SPECIES
Pt 195.08 Pt.upf
Hg 200.59 Hg.upf
Sb 121.76 Sb.upf
CELL_PARAMETERS angstrom
-1.848 -1.674 1.650
1.985 -2.784 -0.600
3.216 3.501 4.444
ATOMIC_POSITIONS angstrom
Pt 2.125 0.823 3.216
Hg 3.227 -1.005 5.305
Sb 1.353 -1.731 2.469
! Total energy, eV per atom: -4.06
! Raw formation energy, meV/atom: -36
! Magnetization, μB per formula unit: 0.000

No. 4
! ScHg2Pt | the Alexandria database | GGA-PBEsol | optimized geometry; values from VASP
&SYSTEM
  ibrav = 0, nat = 4, ntyp = 3
/
ATOMIC_SPECIES
Pt 195.08 Pt.upf
Hg 200.59 Hg.upf
Sc 44.96 Sc.upf
CELL_PARAMETERS angstrom
-3.948 -0.527 -1.574
-1.343 -1.373 3.829
1.734 4.708 -0.100
ATOMIC_POSITIONS angstrom
Pt 0.000 0.000 0.000
Hg -2.430 1.615 -0.273
Sc -2.646 -0.950 1.127
Hg -1.127 1.192 2.428
! Total energy, eV per atom: -4.19
! Magnetization, μB per formula unit: 0.000

No. 5
! ScHg3Pt | the Alexandria database | GGA-PBEsol | optimized geometry; values from VASP
&SYSTEM
  ibrav = 0, nat = 5, ntyp = 3
/
ATOMIC_SPECIES
Sc 44.96 Sc.upf
Pt 195.08 Pt.upf
Hg 200.59 Hg.upf
CELL_PARAMETERS angstrom
5.217 0.000 0.000
0.000 5.217 0.000
0.000 0.000 5.217
ATOMIC_POSITIONS angstrom
Sc 0.000 0.000 0.000
Pt 2.608 2.608 2.608
Hg 0.000 0.000 2.608
Hg 0.000 2.608 0.000
Hg 2.608 0.000 0.000
! Total energy, eV per atom: -2.03
! Magnetization, μB per formula unit: 0.000

No. 6
! Sc2HgPt2 | the Alexandria database | GGA-PBEsol | optimized geometry; values from VASP
&SYSTEM
  ibrav = 0, nat = 5, ntyp = 3
/
ATOMIC_SPECIES
Pt 195.08 Pt.upf
Hg 200.59 Hg.upf
Sc 44.96 Sc.upf
CELL_PARAMETERS angstrom
-0.994 -4.243 -0.902
3.093 -1.343 2.904
-4.649 2.818 2.845
ATOMIC_POSITIONS angstrom
Pt -2.740 0.020 2.927
Hg 0.000 0.000 0.000
Pt 0.190 -2.787 1.919
Sc -0.253 -0.658 3.375
Sc -2.297 -2.109 1.472
! Total energy, eV per atom: -6.25
! Magnetization, μB per formula unit: 0.000

No. 7
! ScHgPt | the Alexandria database | GGA-PBEsol | optimized geometry; values from VASP
&SYSTEM
  ibrav = 0, nat = 3, ntyp = 3
/
ATOMIC_SPECIES
Pt 195.08 Pt.upf
Hg 200.59 Hg.upf
Sc 44.96 Sc.upf
CELL_PARAMETERS angstrom
3.493 0.000 0.000
0.000 3.493 0.000
-1.747 -1.747 4.435
ATOMIC_POSITIONS angstrom
Pt 0.000 0.000 2.863
Hg 1.747 1.747 4.428
Sc 1.747 1.747 1.580
! Total energy, eV per atom: -5.54
! Magnetization, μB per formula unit: 0.000

No. 8
! ScHgPt | the Alexandria database | GGA-PBEsol | optimized geometry; values from VASP
&SYSTEM
  ibrav = 0, nat = 3, ntyp = 3
/
ATOMIC_SPECIES
Sc 44.96 Sc.upf
Hg 200.59 Hg.upf
Pt 195.08 Pt.upf
CELL_PARAMETERS angstrom
-4.212 0.524 1.455
-2.722 -3.553 0.319
-1.190 -1.560 4.035
ATOMIC_POSITIONS angstrom
Sc -2.031 -1.147 1.452
Hg 0.000 0.000 0.000
Pt -4.062 -2.294 2.905
! Total energy, eV per atom: -5.09
! Magnetization, μB per formula unit: 0.000